No. 1
VASP calculation (PBE) on a relaxed YHf3Re crystal.

Unit cell a=4.924 b=4.924 c=4.924 alpha=90.00 beta=90.00 gamma=90.00
Fractional coordinates of all 5 atoms:
Y (0.000, 0.000, 0.000)
Re (0.500, 0.500, 0.500)
Hf (0.000, 0.500, 0.000)
Hf (0.000, 0.000, 0.500)
Hf (0.500, 0.000, 0.000)

Results
- Total moment: 0.00 μB per formula unit
- Distance to the lowest polymorph of the same formula: 1808 meV per atom
- SG: Pm-3m
- Calculated formation energy: 2.19 eV per atom

***

No. 2
VASP calculation (PBE) on a relaxed YHfRe3 crystal.

Unit cell a=4.835 b=4.835 c=4.835 alpha=90.00 beta=90.00 gamma=90.00
Fractional coordinates of all 5 atoms:
Y (0.500, 0.500, 0.500)
Re (0.000, 0.500, 0.000)
Re (0.000, 0.000, 0.500)
Re (0.500, 0.000, 0.000)
Hf (0.000, 0.000, 0.000)

Results
- Total moment: 2.29 μB per formula unit
- Distance to the lowest polymorph of the same formula: 0 meV per atom
- SG: Pm-3m
- Calculated formation energy: 1.71 eV per atom

***

No. 3
VASP calculation (PBE) on a relaxed YHf2Re crystal.

Unit cell a=3.312 b=3.312 c=8.224 alpha=90.00 beta=90.00 gamma=90.00
Fractional coordinates of all 4 atoms:
Y (0.500, 0.500, 0.500)
Re (0.500, 0.500, 0.000)
Hf (0.000, 0.000, 0.812)
Hf (0.000, 0.000, 0.188)

Results
- Total moment: 0.00 μB per formula unit
- Distance to the lowest polymorph of the same formula: 0 meV per atom
- SG: P4/mmm
- Calculated formation energy: -0.08 eV per atom

***

No. 4
VASP calculation (PBE) on a relaxed Y2HfRe crystal.

Unit cell a=5.060 b=5.060 c=5.060 alpha=60.00 beta=60.00 gamma=60.00
Fractional coordinates of all 4 atoms:
Y (0.250, 0.250, 0.250)
Y (0.750, 0.750, 0.750)
Re (0.500, 0.500, 0.500)
Hf (0.000, 0.000, 0.000)

Results
- Total moment: 0.57 μB per formula unit
- Distance to the lowest polymorph of the same formula: 0 meV per atom
- SG: Fm-3m
- Calculated formation energy: 0.46 eV per atom

***

No. 5
VASP calculation (PBE) on a relaxed YHf2Re2 crystal.

Unit cell a=4.354 b=4.354 c=6.557 alpha=70.61 beta=70.61 gamma=90.00
Fractional coordinates of all 5 atoms:
Y (0.000, 0.000, 0.000)
Re (0.393, 0.393, 0.213)
Re (0.607, 0.607, 0.787)
Hf (0.750, 0.250, 0.500)
Hf (0.250, 0.750, 0.500)

Results
- Total moment: 0.00 μB per formula unit
- Distance to the lowest polymorph of the same formula: 17 meV per atom
- SG: I4/mmm
- Calculated formation energy: 0.04 eV per atom

***

No. 6
VASP calculation (PBE) on a relaxed Y2HfRe crystal.

Unit cell a=8.838 b=8.838 c=6.835 alpha=49.73 beta=49.73 gamma=90.00
Fractional coordinates of all 8 atoms:
Y (0.710, 0.125, 0.250)
Y (0.040, 0.625, 0.250)
Y (0.375, 0.290, 0.750)
Y (0.875, 0.960, 0.750)
Re (0.000, 0.000, 0.000)
Re (0.750, 0.250, 0.500)
Hf (0.500, 0.500, 0.000)
Hf (0.250, 0.750, 0.500)

Results
- Total moment: 0.00 μB per formula unit
- Distance to the lowest polymorph of the same formula: 214 meV per atom
- SG: I-42d
- Calculated formation energy: 0.67 eV per atom

***

No. 7
VASP calculation (PBE) on a relaxed YHfRe2 crystal.

Unit cell a=4.738 b=4.738 c=4.738 alpha=60.00 beta=60.00 gamma=60.00
Fractional coordinates of all 4 atoms:
Y (0.000, 0.000, 0.000)
Re (0.250, 0.250, 0.250)
Re (0.750, 0.750, 0.750)
Hf (0.500, 0.500, 0.500)

Results
- Total moment: 0.00 μB per formula unit
- Distance to the lowest polymorph of the same formula: 0 meV per atom
- SG: Fm-3m
- Calculated formation energy: 0.16 eV per atom

***

No. 8
VASP calculation (PBE) on a relaxed YHf2Re2 crystal.

Unit cell a=7.896 b=7.896 c=3.259 alpha=90.00 beta=90.00 gamma=90.00
Fractional coordinates of all 10 atoms:
Y (0.000, 0.000, 0.000)
Y (0.500, 0.500, 0.000)
Re (0.351, 0.851, 0.000)
Re (0.851, 0.649, 0.000)
Re (0.649, 0.149, 0.000)
Re (0.149, 0.351, 0.000)
Hf (0.144, 0.644, 0.500)
Hf (0.644, 0.856, 0.500)
Hf (0.856, 0.356, 0.500)
Hf (0.356, 0.144, 0.500)

Results
- Total moment: 0.00 μB per formula unit
- Distance to the lowest polymorph of the same formula: 0 meV per atom
- SG: P4/mbm
- Calculated formation energy: 0.03 eV per atom

***

> Which of these has the highest distance to the lowest polymorph of the same formula?

YHf3Re